[1]
Computed, not measured: an optimized crystal structure of Na4Ge2IrPt at the PBE-GGA level of DFT.

Properties
- Total energy: -3.69 eV per atom
- Total magnetic moment: 0.00 Bohr magnetons per cell

Geometry as POSCAR:
```
Na4Ge2IrPt
1.0
-3.8272 -1.9824 -1.7094
-1.0552 -1.6025 4.2211
-3.3859 5.4746 1.2320
Ge Ir Na Pt
2 1 4 1
Cartesian
-2.7055 0.2892 -0.5665 Ge
-3.1217 3.3930 3.0544 Ge
0.0000 0.0000 0.0000 Ir
-2.4412 -1.7925 1.2559 Na
-1.3907 0.5942 2.4246 Na
-1.6930 2.7373 0.6160 Na
-4.4365 3.0880 0.0633 Na
-4.1342 0.9449 1.8719 Pt
```



[2]
Computed, not measured: an optimized crystal structure of NaSnGeIr at the PBE-GGA level of DFT.

Properties
- Total energy: -4.37 eV per atom
- Relative energy among the computed polymorphs: 368 meV per atom
- Total magnetic moment: 0.01 Bohr magnetons per cell

Geometry as POSCAR:
```
NaSnGeIr
1.0
0.0000 3.3515 3.3515
3.3515 0.0000 3.3515
3.3515 3.3515 0.0000
Ge Ir Na Sn
1 1 1 1
Cartesian
1.6757 1.6757 1.6757 Ge
0.0000 0.0000 0.0000 Ir
5.0272 5.0272 5.0272 Na
3.3515 3.3515 3.3515 Sn
```



[3]
Computed, not measured: an optimized crystal structure of NaSnGeIr at the PBE-GGA level of DFT.

Properties
- Total energy: -4.44 eV per atom
- Relative energy among the computed polymorphs: 290 meV per atom
- Total magnetic moment: 0.00 Bohr magnetons per cell

Geometry as POSCAR:
```
NaSnGeIr
1.0
0.0000 3.3607 3.3607
3.3607 0.0000 3.3607
3.3607 3.3607 0.0000
Ge Ir Na Sn
1 1 1 1
Cartesian
3.3607 3.3607 3.3607 Ge
0.0000 0.0000 0.0000 Ir
5.0411 5.0411 5.0411 Na
1.6803 1.6803 1.6803 Sn
```



[4]
Computed, not measured: an optimized crystal structure of NaSnGeIr at the PBE-GGA level of DFT.

Properties
- Total energy: -4.73 eV per atom
- Relative energy among the computed polymorphs: 0 meV per atom
- Total magnetic moment: 0.00 Bohr magnetons per cell

Geometry as POSCAR:
```
NaSnGeIr
1.0
1.3524 -3.6667 2.5180
-1.0183 -0.2112 4.5313
-3.1502 -3.0554 1.5346
Ge Ir Na Sn
1 1 1 1
Cartesian
0.0000 0.0000 0.0000 Ge
-0.7040 -1.7333 2.1460 Ir
-2.1121 -5.1999 6.4379 Na
-1.4081 -3.4666 4.2919 Sn
```



[5]
Computed, not measured: an optimized crystal structure of Na2Zn2SnGeIr2 at the PBE-GGA level of DFT.

Properties
- Total energy: -3.99 eV per atom
- Total magnetic moment: 0.01 Bohr magnetons per cell

Geometry as POSCAR:
```
Na2Zn2SnGeIr2
1.0
4.4900 0.0000 0.0000
0.0000 4.4900 0.0000
0.0000 0.0000 6.5517
Ge Ir Na Sn Zn
1 2 2 1 2
Cartesian
0.0000 0.0000 3.2758 Ge
2.2450 0.0000 1.7356 Ir
0.0000 2.2450 4.8160 Ir
0.0000 2.2450 1.7151 Na
2.2450 0.0000 4.8365 Na
2.2450 2.2450 0.0000 Sn
0.0000 0.0000 0.0000 Zn
2.2450 2.2450 3.2758 Zn
```



[6]
Computed, not measured: an optimized crystal structure of NaZrGeIr at the PBE-GGA level of DFT.

Properties
- Total energy: -6.23 eV per atom
- Relative energy among the computed polymorphs: 0 meV per atom
- Total magnetic moment: 0.00 Bohr magnetons per cell

Geometry as POSCAR:
```
NaZrGeIr
1.0
2.4460 -3.8320 0.4246
0.0897 -2.2210 3.9883
-2.1159 -4.0242 0.4203
Ge Ir Na Zr
1 1 1 1
Cartesian
0.2099 -5.0386 2.4166 Ge
0.1050 -2.5193 1.2083 Ir
0.3149 -7.5578 3.6249 Na
0.0000 0.0000 0.0000 Zr
```



[7]
Computed, not measured: an optimized crystal structure of NaZrGeIr at the PBE-GGA level of DFT.

Properties
- Total energy: -6.02 eV per atom
- Relative energy among the computed polymorphs: 209 meV per atom
- Total magnetic moment: 0.00 Bohr magnetons per cell

Geometry as POSCAR:
```
NaZrGeIr
1.0
0.0000 3.2994 3.2994
3.2994 0.0000 3.2994
3.2994 3.2994 0.0000
Ge Ir Na Zr
1 1 1 1
Cartesian
0.0000 0.0000 0.0000 Ge
3.2994 3.2994 3.2994 Ir
4.9491 4.9491 4.9491 Na
1.6497 1.6497 1.6497 Zr
```



[8]
Computed, not measured: an optimized crystal structure of NbGeIr at the PBE-GGA level of DFT.

Properties
- Total energy: -8.38 eV per atom
- Total magnetic moment: 0.00 Bohr magnetons per cell

Geometry as POSCAR:
```
NbGeIr
1.0
-6.1033 -0.8843 2.1073
-0.6572 -2.4903 -2.9486
2.3014 -5.6782 4.2827
Ge Ir Nb
4 4 4
Cartesian
-1.1780 -0.9163 1.0364 Ge
-3.6498 -2.7891 3.1692 Ge
-0.4807 -5.0186 1.7466 Ge
-2.9525 -6.8914 3.8793 Ge
-5.0823 -1.1062 2.0671 Ir
-1.1631 -2.8045 2.6279 Ir
-2.9673 -5.0031 2.2878 Ir
0.9518 -6.7015 2.8486 Ir
-3.1311 -2.7184 0.3947 Nb
0.2541 -3.0993 -0.0382 Nb
-4.3846 -4.7084 4.9539 Nb
-0.9994 -5.0892 4.5211 Nb
```



Among the records above, which one has the highest total energy? Na4Ge2IrPt